(1)
The following is a DFT calculation (PBE) of DyTm4Co4 after structural relaxation.

The structure in CIF format:
```
data_DyTm4Co4
_cell_length_a 8.333
_cell_length_b 8.333
_cell_length_c 5.486
_cell_angle_alpha 90.00
_cell_angle_beta 90.00
_cell_angle_gamma 90.00
_symmetry_space_group_name_H-M 'P 1'
_symmetry_Int_Tables_number 1
_symmetry_space_group_name_Hall 'P 1'
loop_
_atom_site_label
_atom_site_type_symbol
_atom_site_fract_x
_atom_site_fract_y
_atom_site_fract_z
Dy1 Dy 0.250 0.250 0.250
Dy2 Dy 0.750 0.750 0.750
Tm1 Tm 0.064 0.672 0.132
Tm2 Tm 0.172 0.936 0.632
Tm3 Tm 0.328 0.564 0.632
Tm4 Tm 0.436 0.828 0.132
Tm5 Tm 0.564 0.172 0.868
Tm6 Tm 0.672 0.436 0.368
Tm7 Tm 0.828 0.064 0.368
Tm8 Tm 0.936 0.328 0.868
Co1 Co 0.014 0.612 0.618
Co2 Co 0.112 0.986 0.118
Co3 Co 0.388 0.514 0.118
Co4 Co 0.486 0.888 0.618
Co5 Co 0.514 0.112 0.382
Co6 Co 0.612 0.486 0.882
Co7 Co 0.888 0.014 0.882
Co8 Co 0.986 0.388 0.382
```

## Properties
- SG = P4_2/n
- formation energy from the elements (eV/f.u.) = -0.819
- N(E_F) (states/eV/cell) = 10.50
- magnetic moment (Bohr magnetons per cell) = 0.00
- final energy (eV/atom) = -5.75

(2)
The following is a DFT calculation (PBE) of Dy2TmCo after structural relaxation.

The structure in CIF format:
```
data_Dy2TmCo
_cell_length_a 3.410
_cell_length_b 3.410
_cell_length_c 8.651
_cell_angle_alpha 90.00
_cell_angle_beta 90.00
_cell_angle_gamma 90.00
_symmetry_space_group_name_H-M 'P 1'
_symmetry_Int_Tables_number 1
_symmetry_space_group_name_Hall 'P 1'
loop_
_atom_site_label
_atom_site_type_symbol
_atom_site_fract_x
_atom_site_fract_y
_atom_site_fract_z
Dy1 Dy 0.000 0.000 0.187
Dy2 Dy 0.000 0.000 0.813
Tm1 Tm 0.500 0.500 0.500
Co1 Co 0.500 0.500 0.000
```

## Properties
- SG = P4/mmm
- formation energy from the elements (eV/f.u.) = -0.150
- N(E_F) (states/eV/cell) = 4.85
- magnetic moment (Bohr magnetons per cell) = 1.27
- final energy (eV/atom) = -5.23
- excess energy over the best structure of this formula in the dataset (eV/f.u.) = 0.54

(3)
The following is a DFT calculation (PBE) of DyTm3Co2 after structural relaxation.

The structure in CIF format:
```
data_DyTm3Co2
_cell_length_a 8.160
_cell_length_b 8.160
_cell_length_c 10.993
_cell_angle_alpha 119.57
_cell_angle_beta 119.57
_cell_angle_gamma 28.02
_symmetry_space_group_name_H-M 'P 1'
_symmetry_Int_Tables_number 1
_symmetry_space_group_name_Hall 'P 1'
loop_
_atom_site_label
_atom_site_type_symbol
_atom_site_fract_x
_atom_site_fract_y
_atom_site_fract_z
Dy1 Dy 0.079 0.079 0.178
Dy2 Dy 0.921 0.921 0.822
Tm1 Tm 0.173 0.173 0.541
Tm2 Tm 0.284 0.284 0.912
Tm3 Tm 0.445 0.445 0.284
Tm4 Tm 0.555 0.555 0.716
Tm5 Tm 0.716 0.716 0.088
Tm6 Tm 0.827 0.827 0.459
Co1 Co 0.116 0.116 0.914
Co2 Co 0.365 0.365 0.639
Co3 Co 0.635 0.635 0.361
Co4 Co 0.884 0.884 0.086
```

## Properties
- SG = C2/m
- formation energy from the elements (eV/f.u.) = -0.645
- N(E_F) (states/eV/cell) = 10.06
- magnetic moment (Bohr magnetons per cell) = 0.00
- final energy (eV/atom) = -5.48
- excess energy over the best structure of this formula in the dataset (eV/f.u.) = 0.46

(4)
The following is a DFT calculation (PBE) of DyTmCo after structural relaxation.

The structure in CIF format:
```
data_DyTmCo
_cell_length_a 6.678
_cell_length_b 6.678
_cell_length_c 6.678
_cell_angle_alpha 151.04
_cell_angle_beta 151.04
_cell_angle_gamma 41.41
_symmetry_space_group_name_H-M 'P 1'
_symmetry_Int_Tables_number 1
_symmetry_space_group_name_Hall 'P 1'
loop_
_atom_site_label
_atom_site_type_symbol
_atom_site_fract_x
_atom_site_fract_y
_atom_site_fract_z
Dy1 Dy 0.000 0.000 0.000
Tm1 Tm 0.743 0.743 0.000
Co1 Co 0.369 0.369 0.000
```

## Properties
- SG = I4mm
- formation energy from the elements (eV/f.u.) = -0.429
- N(E_F) (states/eV/cell) = 1.94
- magnetic moment (Bohr magnetons per cell) = 0.68
- final energy (eV/atom) = -5.54
- excess energy over the best structure of this formula in the dataset (eV/f.u.) = 0.00

(5)
The following is a DFT calculation (PBE) of DyTm3Co2 after structural relaxation.

The structure in CIF format:
```
data_DyTm3Co2
_cell_length_a 8.287
_cell_length_b 8.287
_cell_length_c 11.400
_cell_angle_alpha 122.76
_cell_angle_beta 122.76
_cell_angle_gamma 25.94
_symmetry_space_group_name_H-M 'P 1'
_symmetry_Int_Tables_number 1
_symmetry_space_group_name_Hall 'P 1'
loop_
_atom_site_label
_atom_site_type_symbol
_atom_site_fract_x
_atom_site_fract_y
_atom_site_fract_z
Dy1 Dy 0.158 0.158 0.244
Dy2 Dy 0.842 0.842 0.756
Tm1 Tm 0.159 0.159 0.746
Tm2 Tm 0.416 0.416 0.063
Tm3 Tm 0.416 0.416 0.558
Tm4 Tm 0.584 0.584 0.442
Tm5 Tm 0.584 0.584 0.937
Tm6 Tm 0.841 0.841 0.254
Co1 Co 0.232 0.232 0.048
Co2 Co 0.233 0.233 0.549
Co3 Co 0.767 0.767 0.451
Co4 Co 0.768 0.768 0.952
```

## Properties
- SG = C2/m
- formation energy from the elements (eV/f.u.) = -1.103
- N(E_F) (states/eV/cell) = 14.39
- magnetic moment (Bohr magnetons per cell) = 0.00
- final energy (eV/atom) = -5.56
- excess energy over the best structure of this formula in the dataset (eV/f.u.) = 0.00

(6)
The following is a DFT calculation (PBE) of Dy3TmCo after structural relaxation.

The structure in CIF format:
```
data_Dy3TmCo
_cell_length_a 7.084
_cell_length_b 7.084
_cell_length_c 8.085
_cell_angle_alpha 124.59
_cell_angle_beta 124.59
_cell_angle_gamma 71.44
_symmetry_space_group_name_H-M 'P 1'
_symmetry_Int_Tables_number 1
_symmetry_space_group_name_Hall 'P 1'
loop_
_atom_site_label
_atom_site_type_symbol
_atom_site_fract_x
_atom_site_fract_y
_atom_site_fract_z
Dy1 Dy 0.048 0.048 0.341
Dy2 Dy 0.048 0.453 0.208
Dy3 Dy 0.453 0.048 0.208
Dy4 Dy 0.547 0.952 0.792
Dy5 Dy 0.952 0.547 0.792
Dy6 Dy 0.952 0.952 0.659
Tm1 Tm 0.452 0.452 0.749
Tm2 Tm 0.548 0.548 0.251
Co1 Co 0.250 0.250 0.871
Co2 Co 0.750 0.750 0.129
```

## Properties
- SG = C2/m
- formation energy from the elements (eV/f.u.) = -0.562
- N(E_F) (states/eV/cell) = 10.40
- magnetic moment (Bohr magnetons per cell) = 0.64
- final energy (eV/atom) = -5.19
- excess energy over the best structure of this formula in the dataset (eV/f.u.) = 0.00

(7)
The following is a DFT calculation (PBE) of DyTmCo4 after structural relaxation.

The structure in CIF format:
```
data_DyTmCo4
_cell_length_a 5.044
_cell_length_b 5.044
_cell_length_c 5.044
_cell_angle_alpha 60.00
_cell_angle_beta 60.00
_cell_angle_gamma 60.00
_symmetry_space_group_name_H-M 'P 1'
_symmetry_Int_Tables_number 1
_symmetry_space_group_name_Hall 'P 1'
loop_
_atom_site_label
_atom_site_type_symbol
_atom_site_fract_x
_atom_site_fract_y
_atom_site_fract_z
Dy1 Dy 0.000 0.000 0.000
Tm1 Tm 0.750 0.750 0.750
Co1 Co 0.375 0.375 0.375
Co2 Co 0.375 0.375 0.874
Co3 Co 0.375 0.874 0.375
Co4 Co 0.874 0.375 0.375
```

## Properties
- SG = F-43m
- formation energy from the elements (eV/f.u.) = -1.412
- N(E_F) (states/eV/cell) = 6.83
- magnetic moment (Bohr magnetons per cell) = 3.75
- final energy (eV/atom) = -6.48

(8)
The following is a DFT calculation (PBE) of Dy12TmCo6 after structural relaxation.

The structure in CIF format:
```
data_Dy12TmCo6
_cell_length_a 8.443
_cell_length_b 8.443
_cell_length_c 8.443
_cell_angle_alpha 109.47
_cell_angle_beta 109.47
_cell_angle_gamma 109.47
_symmetry_space_group_name_H-M 'P 1'
_symmetry_Int_Tables_number 1
_symmetry_space_group_name_Hall 'P 1'
loop_
_atom_site_label
_atom_site_type_symbol
_atom_site_fract_x
_atom_site_fract_y
_atom_site_fract_z
Dy1 Dy 0.114 0.308 0.806
Dy2 Dy 0.194 0.502 0.308
Dy3 Dy 0.194 0.886 0.692
Dy4 Dy 0.308 0.194 0.502
Dy5 Dy 0.308 0.806 0.114
Dy6 Dy 0.498 0.692 0.806
Dy7 Dy 0.502 0.308 0.194
Dy8 Dy 0.692 0.194 0.886
Dy9 Dy 0.692 0.806 0.498
Dy10 Dy 0.806 0.114 0.308
Dy11 Dy 0.806 0.498 0.692
Dy12 Dy 0.886 0.692 0.194
Tm1 Tm 0.000 0.000 0.000
Co1 Co 0.114 0.500 0.614
Co2 Co 0.386 0.886 0.500
Co3 Co 0.500 0.386 0.886
Co4 Co 0.500 0.614 0.114
Co5 Co 0.614 0.114 0.500
Co6 Co 0.886 0.500 0.386
```

## Properties
- SG = Im-3
- formation energy from the elements (eV/f.u.) = -2.562
- N(E_F) (states/eV/cell) = 16.70
- magnetic moment (Bohr magnetons per cell) = 0.00
- final energy (eV/atom) = -5.52

(9)
The following is a DFT calculation (PBE) of DyTmCo after structural relaxation.

The structure in CIF format:
```
data_DyTmCo
_cell_length_a 4.652
_cell_length_b 4.652
_cell_length_c 4.652
_cell_angle_alpha 60.00
_cell_angle_beta 60.00
_cell_angle_gamma 60.00
_symmetry_space_group_name_H-M 'P 1'
_symmetry_Int_Tables_number 1
_symmetry_space_group_name_Hall 'P 1'
loop_
_atom_site_label
_atom_site_type_symbol
_atom_site_fract_x
_atom_site_fract_y
_atom_site_fract_z
Dy1 Dy 0.000 0.000 0.000
Tm1 Tm 0.500 0.500 0.500
Co1 Co 0.250 0.250 0.250
```

## Properties
- SG = F-43m
- formation energy from the elements (eV/f.u.) = -0.236
- N(E_F) (states/eV/cell) = 3.16
- magnetic moment (Bohr magnetons per cell) = 0.00
- final energy (eV/atom) = -5.47
- excess energy over the best structure of this formula in the dataset (eV/f.u.) = 0.19

(10)
The following is a DFT calculation (PBE) of Dy3Tm5Co2 after structural relaxation.

The structure in CIF format:
```
data_Dy3Tm5Co2
_cell_length_a 9.622
_cell_length_b 9.622
_cell_length_c 9.622
_cell_angle_alpha 117.16
_cell_angle_beta 81.67
_cell_angle_gamma 133.50
_symmetry_space_group_name_H-M 'P 1'
_symmetry_Int_Tables_number 1
_symmetry_space_group_name_Hall 'P 1'
loop_
_atom_site_label
_atom_site_type_symbol
_atom_site_fract_x
_atom_site_fract_y
_atom_site_fract_z
Dy1 Dy 0.124 0.742 0.866
Dy2 Dy 0.250 0.250 0.000
Dy3 Dy 0.376 0.242 0.618
Dy4 Dy 0.624 0.758 0.382
Dy5 Dy 0.750 0.750 0.000
Dy6 Dy 0.876 0.258 0.134
Tm1 Tm 0.004 0.750 0.254
Tm2 Tm 0.125 0.258 0.383
Tm3 Tm 0.250 0.750 0.500
Tm4 Tm 0.375 0.758 0.133
Tm5 Tm 0.496 0.750 0.746
Tm6 Tm 0.504 0.250 0.254
Tm7 Tm 0.625 0.242 0.867
Tm8 Tm 0.750 0.250 0.500
Tm9 Tm 0.875 0.742 0.617
Tm10 Tm 0.996 0.250 0.746
Co1 Co 0.131 0.001 0.132
Co2 Co 0.369 0.501 0.869
Co3 Co 0.631 0.499 0.131
Co4 Co 0.869 0.999 0.868
```

## Properties
- SG = Ibam
- formation energy from the elements (eV/f.u.) = -0.421
- N(E_F) (states/eV/cell) = 22.28
- magnetic moment (Bohr magnetons per cell) = 0.00
- final energy (eV/atom) = -5.08

(11)
The following is a DFT calculation (PBE) of DyU2Co9 after structural relaxation.

The structure in CIF format:
```
data_DyU2Co9
_cell_length_a 8.605
_cell_length_b 8.605
_cell_length_c 8.605
_cell_angle_alpha 32.67
_cell_angle_beta 32.67
_cell_angle_gamma 32.67
_symmetry_space_group_name_H-M 'P 1'
_symmetry_Int_Tables_number 1
_symmetry_space_group_name_Hall 'P 1'
loop_
_atom_site_label
_atom_site_type_symbol
_atom_site_fract_x
_atom_site_fract_y
_atom_site_fract_z
Dy1 Dy 0.000 0.000 0.000
U1 U 0.141 0.141 0.141
U2 U 0.859 0.859 0.859
Co1 Co 0.084 0.582 0.582
Co2 Co 0.333 0.333 0.333
Co3 Co 0.418 0.418 0.916
Co4 Co 0.418 0.916 0.418
Co5 Co 0.500 0.500 0.500
Co6 Co 0.582 0.084 0.582
Co7 Co 0.582 0.582 0.084
Co8 Co 0.667 0.667 0.667
Co9 Co 0.916 0.418 0.418
```

## Properties
- SG = R-3m
- formation energy from the elements (eV/f.u.) = -2.138
- N(E_F) (states/eV/cell) = 17.61
- magnetic moment (Bohr magnetons per cell) = 4.66
- final energy (eV/atom) = -7.77